1.
Here is an optimized crystal structure of RbBaErS3 from OQMD. Energies are from PBE.

## Properties
The symmetry is No. 63. The total energy is -4.92 eV/atom.

a = 9.886 Å, b = 9.886 Å, c = 11.852 Å
α = 90.00°, β = 90.00°, γ = 155.77°
Fractional positions:
1 S 0.093 0.907 0.502
2 Er 0.500 0.500 0.500
3 S 0.498 0.502 0.250
4 Rb 0.871 0.129 0.750
5 S 0.907 0.093 0.498
6 S 0.907 0.093 0.002
7 S 0.502 0.498 0.750
8 Ba 0.889 0.111 0.250
9 Rb 0.129 0.871 0.250
10 S 0.093 0.907 0.998
11 Er 0.500 0.500 0.000
12 Ba 0.111 0.889 0.750



2.
Here is an optimized crystal structure of RbBaErS3 from OQMD. Energies are from PBE.

## Properties
The symmetry is No. 62. The total energy is -4.92 eV/atom.

a = 11.870 Å, b = 4.160 Å, c = 19.557 Å
α = 90.00°, β = 90.00°, γ = 90.00°
Fractional positions:
1 Rb 0.262 0.250 0.377
2 S 0.486 0.750 0.658
3 S 0.509 0.250 0.158
4 Er 0.011 0.750 0.250
5 Ba 0.738 0.750 0.860
6 S 0.739 0.250 0.752
7 Ba 0.262 0.250 0.140
8 S 0.009 0.250 0.342
9 Rb 0.738 0.750 0.623
10 Er 0.511 0.750 0.250
11 S 0.514 0.250 0.342
12 S 0.761 0.750 0.252
13 S 0.261 0.750 0.248
14 Er 0.989 0.250 0.750
15 Rb 0.238 0.750 0.877
16 S 0.991 0.750 0.658
17 S 0.986 0.750 0.842
18 Ba 0.762 0.250 0.360
19 S 0.239 0.250 0.748
20 Rb 0.762 0.250 0.123
21 Er 0.489 0.250 0.750
22 S 0.014 0.250 0.158
23 Ba 0.238 0.750 0.640
24 S 0.491 0.750 0.842



3.
Here is an optimized crystal structure of RbBaErSe3 from OQMD. Energies are from PBE.

## Properties
The polymorph energy (0 for the lowest one) comes out at 0.025 eV/f.u. The symmetry is No. 62.

a = 13.303 Å, b = 4.301 Å, c = 14.049 Å
α = 90.00°, β = 90.00°, γ = 90.00°
Fractional positions:
1 Se 0.855 0.750 0.749
2 Ba 0.871 0.250 0.583
3 Se 0.620 0.250 0.898
4 Se 0.380 0.750 0.102
5 Se 0.880 0.750 0.398
6 Se 0.629 0.250 0.627
7 Se 0.129 0.250 0.873
8 Er 0.651 0.750 0.756
9 Er 0.349 0.250 0.244
10 Se 0.120 0.250 0.602
11 Rb 0.383 0.250 0.570
12 Ba 0.129 0.750 0.417
13 Ba 0.629 0.750 0.083
14 Rb 0.617 0.750 0.430
15 Se 0.645 0.250 0.249
16 Se 0.371 0.750 0.373
17 Er 0.151 0.750 0.744
18 Se 0.145 0.250 0.251
19 Se 0.355 0.750 0.751
20 Se 0.871 0.750 0.127
21 Er 0.849 0.250 0.256
22 Rb 0.883 0.250 0.930
23 Rb 0.117 0.750 0.070
24 Ba 0.371 0.250 0.917



4.
Here is an optimized crystal structure of RbBaErSe3 from OQMD. Energies are from PBE.

## Properties
The polymorph energy (0 for the lowest one) comes out at 1.332 eV/f.u. The symmetry is No. 63.

a = 9.801 Å, b = 9.801 Å, c = 12.304 Å
α = 90.00°, β = 90.00°, γ = 154.87°
Fractional positions:
1 Rb 0.359 0.641 0.750
2 Se 0.602 0.398 0.998
3 Er 0.000 0.000 0.500
4 Se 0.999 0.001 0.750
5 Rb 0.641 0.359 0.250
6 Se 0.398 0.602 0.002
7 Er 0.000 0.000 0.000
8 Se 0.398 0.602 0.498
9 Se 0.602 0.398 0.502
10 Ba 0.616 0.384 0.750
11 Se 0.001 0.999 0.250
12 Ba 0.384 0.616 0.250



5.
Here is an optimized crystal structure of RbBaErSe3 from OQMD. Energies are from PBE.

## Properties
The polymorph energy (0 for the lowest one) comes out at 0.000 eV/f.u. The symmetry is No. 62.

a = 13.363 Å, b = 4.302 Å, c = 14.048 Å
α = 90.00°, β = 90.00°, γ = 90.00°
Fractional positions:
1 Rb 0.382 0.750 0.428
2 Se 0.377 0.250 0.899
3 Ba 0.628 0.250 0.917
4 Se 0.623 0.750 0.101
5 Se 0.635 0.750 0.372
6 Rb 0.618 0.250 0.572
7 Ba 0.372 0.750 0.083
8 Rb 0.882 0.750 0.072
9 Ba 0.872 0.750 0.417
10 Se 0.123 0.750 0.399
11 Er 0.395 0.750 0.758
12 Se 0.903 0.250 0.254
13 Er 0.605 0.250 0.242
14 Se 0.877 0.250 0.601
15 Er 0.105 0.250 0.258
16 Se 0.365 0.250 0.628
17 Se 0.097 0.750 0.746
18 Se 0.135 0.750 0.128
19 Er 0.895 0.750 0.742
20 Se 0.403 0.250 0.246
21 Rb 0.118 0.250 0.928
22 Se 0.597 0.750 0.754
23 Ba 0.128 0.250 0.583
24 Se 0.865 0.250 0.872



6.
Here is an optimized crystal structure of BaErRe from OQMD. Energies are from PBE.

## Properties
The polymorph energy (0 for the lowest one) comes out at 0.000 eV/f.u. The symmetry is No. 216.

a = 4.995 Å, b = 4.995 Å, c = 4.995 Å
α = 60.00°, β = 60.00°, γ = 60.00°
Fractional positions:
1 Ba 0.250 0.250 0.250
2 Er 0.000 0.000 0.000
3 Re 0.750 0.750 0.750



7.
Here is an optimized crystal structure of BaErRe from OQMD. Energies are from PBE.

## Properties
The polymorph energy (0 for the lowest one) comes out at 1.169 eV/f.u. The symmetry is No. 216.

a = 4.903 Å, b = 4.903 Å, c = 4.903 Å
α = 60.00°, β = 60.00°, γ = 60.00°
Fractional positions:
1 Er 0.250 0.250 0.250
2 Ba 0.000 0.000 0.000
3 Re 0.750 0.750 0.750



8.
Here is an optimized crystal structure of BaErZnS3 from OQMD. Energies are from PBE.

## Properties
The symmetry is No. 63. The total energy is -4.88 eV/atom.

a = 7.132 Å, b = 7.132 Å, c = 10.252 Å
α = 90.00°, β = 90.00°, γ = 146.41°
Fractional positions:
1 Ba 0.753 0.247 0.250
2 Er 0.500 0.500 0.000
3 Zn 0.025 0.975 0.250
4 S 0.565 0.435 0.750
5 S 0.870 0.130 0.565
6 S 0.435 0.565 0.250
7 S 0.130 0.870 0.435
8 S 0.130 0.870 0.065
9 Ba 0.247 0.753 0.750
10 Zn 0.975 0.025 0.750
11 S 0.870 0.130 0.935
12 Er 0.500 0.500 0.500



9.
Here is an optimized crystal structure of BaErSb from OQMD. Energies are from PBE.

## Properties
The symmetry is No. 216. The total energy is -3.60 eV/atom.

a = 5.314 Å, b = 5.314 Å, c = 5.314 Å
α = 60.00°, β = 60.00°, γ = 60.00°
Fractional positions:
1 Sb 0.750 0.750 0.750
2 Er 0.000 0.000 0.000
3 Ba 0.250 0.250 0.250



10.
Here is an optimized crystal structure of BaErSc from OQMD. Energies are from PBE.

## Properties
The polymorph energy (0 for the lowest one) comes out at 0.596 eV/f.u. The symmetry is No. 216.

a = 5.379 Å, b = 5.379 Å, c = 5.379 Å
α = 60.00°, β = 60.00°, γ = 60.00°
Fractional positions:
1 Er 0.250 0.250 0.250
2 Ba 0.000 0.000 0.000
3 Sc 0.750 0.750 0.750



11.
Here is an optimized crystal structure of BaErSc from OQMD. Energies are from PBE.

## Properties
The polymorph energy (0 for the lowest one) comes out at 0.000 eV/f.u. The symmetry is No. 216.

a = 5.567 Å, b = 5.567 Å, c = 5.567 Å
α = 60.00°, β = 60.00°, γ = 60.00°
Fractional positions:
1 Er 0.750 0.750 0.750
2 Sc 0.000 0.000 0.000
3 Ba 0.250 0.250 0.250



12.
Here is an optimized crystal structure of Ba2ErSe3 from OQMD. Energies are from PBE.

## Properties
The symmetry is No. 164. The total energy is -5.03 eV/atom.

a = 4.391 Å, b = 4.391 Å, c = 11.210 Å
α = 90.00°, β = 90.00°, γ = 120.00°
Fractional positions:
1 Ba 0.667 0.333 0.822
2 Se 0.000 0.000 0.000
3 Ba 0.333 0.667 0.178
4 Se 0.333 0.667 0.633
5 Er 0.000 0.000 0.500
6 Se 0.667 0.333 0.367



13.
Here is an optimized crystal structure of BaEr2Se4 from OQMD. Energies are from PBE.

## Properties
The symmetry is No. 62. The total energy is -5.54 eV/atom.

a = 12.718 Å, b = 4.174 Å, c = 15.096 Å
α = 90.00°, β = 90.00°, γ = 90.00°
Fractional positions:
1 Se 0.523 0.250 0.783
2 Se 0.977 0.750 0.283
3 Er 0.065 0.750 0.109
4 Er 0.078 0.750 0.600
5 Ba 0.742 0.750 0.164
6 Er 0.578 0.750 0.900
7 Ba 0.758 0.250 0.664
8 Se 0.626 0.250 0.024
9 Er 0.435 0.250 0.609
10 Se 0.793 0.750 0.838
11 Se 0.417 0.250 0.423
12 Se 0.707 0.250 0.338
13 Ba 0.258 0.250 0.836
14 Se 0.583 0.750 0.577
15 Er 0.935 0.250 0.891
16 Er 0.565 0.750 0.391
17 Ba 0.242 0.750 0.336
18 Er 0.422 0.250 0.100
19 Se 0.207 0.250 0.162
20 Se 0.293 0.750 0.662
21 Se 0.477 0.750 0.217
22 Se 0.374 0.750 0.976
23 Se 0.917 0.250 0.077
24 Se 0.126 0.250 0.476
25 Er 0.922 0.250 0.400
26 Se 0.874 0.750 0.524
27 Se 0.083 0.750 0.923
28 Se 0.023 0.250 0.717



14.
Here is an optimized crystal structure of Ba3ErSe from OQMD. Energies are from PBE.

## Properties
The symmetry is No. 221. The total energy is -3.19 eV/atom.

a = 6.327 Å, b = 6.327 Å, c = 6.327 Å
α = 90.00°, β = 90.00°, γ = 90.00°
Last column: magnetic moment on the atom in μB.
Fractional positions:
1 Ba 0.500 0.500 0.000  0.04
2 Se 0.500 0.500 0.500  0.00
3 Ba 0.500 0.000 0.500  0.03
4 Er 0.000 0.000 0.000  0.14
5 Ba 0.000 0.500 0.500  0.02



15.
Here is an optimized crystal structure of BaErTlSe3 from OQMD. Energies are from PBE.

## Properties
The symmetry is No. 63. The total energy is -4.59 eV/atom.

a = 7.984 Å, b = 7.984 Å, c = 12.160 Å
α = 90.00°, β = 90.00°, γ = 149.24°
Fractional positions:
1 Se 0.377 0.623 0.501
2 Se 0.623 0.377 0.001
3 Tl 0.632 0.368 0.750
4 Se 0.377 0.623 0.999
5 Er 0.000 0.000 0.000
6 Er 0.000 0.000 0.500
7 Se 0.623 0.377 0.499
8 Ba 0.665 0.335 0.250
9 Ba 0.335 0.665 0.750
10 Se 0.005 0.995 0.250
11 Se 0.995 0.005 0.750
12 Tl 0.368 0.632 0.250



16.
Here is an optimized crystal structure of BaErZnSe3 from OQMD. Energies are from PBE.

## Properties
The symmetry is No. 63. The total energy is -4.46 eV/atom.

a = 7.309 Å, b = 7.309 Å, c = 10.634 Å
α = 90.00°, β = 90.00°, γ = 144.91°
Fractional positions:
1 Se 0.869 0.131 0.437
2 Zn 0.019 0.981 0.750
3 Se 0.571 0.429 0.250
4 Se 0.429 0.571 0.750
5 Zn 0.981 0.019 0.250
6 Ba 0.253 0.747 0.250
7 Er 0.500 0.500 0.000
8 Se 0.131 0.869 0.563
9 Se 0.869 0.131 0.063
10 Er 0.500 0.500 0.500
11 Ba 0.747 0.253 0.750
12 Se 0.131 0.869 0.937



17.
Here is an optimized crystal structure of BaSmEr from OQMD. Energies are from PBE.

## Properties
The polymorph energy (0 for the lowest one) comes out at 0.000 eV/f.u. The symmetry is No. 216.

a = 5.805 Å, b = 5.805 Å, c = 5.805 Å
α = 60.00°, β = 60.00°, γ = 60.00°
Fractional positions:
1 Sm 0.750 0.750 0.750
2 Er 0.000 0.000 0.000
3 Ba 0.250 0.250 0.250



18.
Here is an optimized crystal structure of BaErSn2 from OQMD. Energies are from PBE.

## Properties
The symmetry is No. 38. The total energy is -3.52 eV/atom.

a = 3.482 Å, b = 7.201 Å, c = 7.201 Å
α = 54.26°, β = 90.00°, γ = 90.00°
Fractional positions:
1 Ba 0.000 0.632 0.632
2 Er 0.000 0.350 0.350
3 Sn 0.000 0.898 0.898
4 Sn 0.000 0.120 0.120



19.
Here is an optimized crystal structure of BaSrEr from OQMD. Energies are from PBE.

## Properties
The polymorph energy (0 for the lowest one) comes out at 0.000 eV/f.u. The symmetry is No. 216.

a = 6.196 Å, b = 6.196 Å, c = 6.196 Å
α = 60.00°, β = 60.00°, γ = 60.00°
Fractional positions:
1 Ba 0.250 0.250 0.250
2 Er 0.000 0.000 0.000
3 Sr 0.750 0.750 0.750



20.
Here is an optimized crystal structure of BaErTc from OQMD. Energies are from PBE.

## Properties
The polymorph energy (0 for the lowest one) comes out at 0.000 eV/f.u. The symmetry is No. 216.

a = 5.010 Å, b = 5.010 Å, c = 5.010 Å
α = 60.00°, β = 60.00°, γ = 60.00°
Last column: magnetic moment on the atom in μB.
Fractional positions:
1 Er 0.750 0.750 0.750  -0.18
2 Tc 0.500 0.500 0.500  0.81
3 Ba 0.000 0.000 0.000  -0.07



21.
Here is an optimized crystal structure of BaErTc from OQMD. Energies are from PBE.

## Properties
The polymorph energy (0 for the lowest one) comes out at 1.031 eV/f.u. The symmetry is No. 216.

a = 4.929 Å, b = 4.929 Å, c = 4.929 Å
α = 60.00°, β = 60.00°, γ = 60.00°
Last column: magnetic moment on the atom in μB.
Fractional positions:
1 Ba 0.000 0.000 0.000  -0.07
2 Er 0.250 0.250 0.250  -0.22
3 Tc 0.750 0.750 0.750  1.07



22.
Here is an optimized crystal structure of BaErTe from OQMD. Energies are from PBE.

## Properties
The polymorph energy (0 for the lowest one) comes out at 0.000 eV/f.u. The symmetry is No. 216.

a = 5.411 Å, b = 5.411 Å, c = 5.411 Å
α = 60.00°, β = 60.00°, γ = 60.00°
Fractional positions:
1 Er 0.750 0.750 0.750
2 Te 0.000 0.000 0.000
3 Ba 0.250 0.250 0.250